An optimized crystal structure of RbHfTh, computed with PBE.

Structure (extended XYZ):
```
3
Lattice="0.000 3.877 3.877 3.877 0.000 3.877 3.877 3.877 0.000" Properties=species:S:1:pos:R:3 pbc="T T T"
Rb 1.939 1.939 1.939
Th 5.816 5.816 5.816
Hf 0.000 0.000 0.000
```

Total DFT energy (no corrections)   -13.24 eV for the cell shown
Volume   116.6 Å³ per cell
Space group   F-43m (216)

***

An optimized crystal structure of RbHfU, computed with PBE.

Structure (extended XYZ):
```
3
Lattice="0.000 3.904 3.904 3.904 0.000 3.904 3.904 3.904 0.000" Properties=species:S:1:pos:R:3 pbc="T T T"
U 5.856 5.856 5.856
Hf 0.000 0.000 0.000
Rb 1.952 1.952 1.952
```

Total DFT energy (no corrections)   -15.62 eV for the cell shown
Volume   119.0 Å³ per cell
Space group   F-43m (216)

***

An optimized crystal structure of RbHfW, computed with PBE.

Structure (extended XYZ):
```
3
Lattice="0.000 3.362 3.362 3.362 0.000 3.362 3.362 3.362 0.000" Properties=species:S:1:pos:R:3 pbc="T T T"
Hf 1.681 1.681 1.681
Rb 0.000 0.000 0.000
W 5.043 5.043 5.043
```

Total DFT energy (no corrections)   -14.43 eV for the cell shown
Volume   76.0 Å³ per cell
Space group   F-43m (216)

***

An optimized crystal structure of RbHfW, computed with PBE.

Structure (extended XYZ):
```
3
Lattice="-2.852 -1.566 3.655 -4.860 -0.102 -0.561 -2.329 -4.287 -0.379" Properties=species:S:1:pos:R:3 pbc="T T T"
Hf -2.510 -1.489 0.679
Rb -7.531 -4.467 2.036
W 0.000 0.000 0.000
```

Total DFT energy (no corrections)   -17.10 eV for the cell shown
Volume   82.9 Å³ per cell
Space group   F-43m (216)